Entry from Alexandria: CoSbN2O after structural relaxation (GGA+U).

Results
DFT total energy	-5.43	eV/atom

extended XYZ file:
```
5
Lattice="3.711 0.000 0.000 0.000 3.711 0.000 0.000 0.000 3.961" Properties=species:S:1:pos:R:3 pbc="T T T"
Co 0.000 0.000 0.000
Sb 1.856 1.856 1.980
N 0.000 1.856 0.000
N 1.856 0.000 0.000
O 0.000 0.000 1.980
```